# PrErAgIr (PBE-GGA, optimized geometry)
data_PrErAgIr
_cell_length_a 5.059
_cell_length_b 5.059
_cell_length_c 5.059
_cell_angle_alpha 60.00
_cell_angle_beta 60.00
_cell_angle_gamma 60.00
_symmetry_space_group_name_H-M 'P 1'
_symmetry_Int_Tables_number 1
_symmetry_space_group_name_Hall 'P 1'
loop_
_atom_site_label
_atom_site_fract_x
_atom_site_fract_y
_atom_site_fract_z
_atom_site_occupancy
Pr1 0.000 0.000 0.000 1
Er1 0.500 0.500 0.500 1
Ag1 0.250 0.250 0.250 1
Ir1 0.750 0.750 0.750 1
# Total magnetization ... 0.0 μB per cell
# VASP energy ... -5.759 eV per atom
# Energy relative to the elements ... -0.496 eV per atom
# Space-group type ... F-43m, No. 216



# Li2GeBi (PBE-GGA, optimized geometry)
data_Li2GeBi
_cell_length_a 4.831
_cell_length_b 4.831
_cell_length_c 4.831
_cell_angle_alpha 60.00
_cell_angle_beta 60.00
_cell_angle_gamma 60.00
_symmetry_space_group_name_H-M 'P 1'
_symmetry_Int_Tables_number 1
_symmetry_space_group_name_Hall 'P 1'
loop_
_atom_site_label
_atom_site_fract_x
_atom_site_fract_y
_atom_site_fract_z
_atom_site_occupancy
Li1 0.250 0.250 0.250 1
Li2 0.750 0.750 0.750 1
Ge1 0.000 0.000 0.000 1
Bi1 0.500 0.500 0.500 1
# Total magnetization ... 0.0 μB per cell
# VASP energy ... -3.340 eV per atom
# Energy relative to the elements ... -0.259 eV per atom
# Energy above the most stable polymorph in this dataset ... 0.016 eV per atom
# Space-group type ... Fm-3m, No. 225



# Tb2Sm2Tl (PBE-GGA, optimized geometry)
data_Tb2Sm2Tl
_cell_length_a 6.396
_cell_length_b 6.396
_cell_length_c 8.588
_cell_angle_alpha 107.17
_cell_angle_beta 107.17
_cell_angle_gamma 96.13
_symmetry_space_group_name_H-M 'P 1'
_symmetry_Int_Tables_number 1
_symmetry_space_group_name_Hall 'P 1'
loop_
_atom_site_label
_atom_site_fract_x
_atom_site_fract_y
_atom_site_fract_z
_atom_site_occupancy
Tb1 0.113 0.744 0.784 1
Tb2 0.256 0.887 0.216 1
Tb3 0.744 0.113 0.784 1
Tb4 0.887 0.256 0.216 1
Sm1 0.221 0.221 0.615 1
Sm2 0.341 0.341 0.074 1
Sm3 0.659 0.659 0.926 1
Sm4 0.779 0.779 0.385 1
Tl1 0.331 0.669 0.500 1
Tl2 0.669 0.331 0.500 1
# Total magnetization ... 0.0 μB per cell
# VASP energy ... -4.281 eV per atom
# Energy relative to the elements ... -0.067 eV per atom
# Energy above the most stable polymorph in this dataset ... 0.000 eV per atom
# Space-group type ... C2/m, No. 12



# BaZr2Sn2 (PBE-GGA, optimized geometry)
data_BaZr2Sn2
_cell_length_a 9.099
_cell_length_b 9.099
_cell_length_c 3.279
_cell_angle_alpha 90.00
_cell_angle_beta 90.00
_cell_angle_gamma 90.00
_symmetry_space_group_name_H-M 'P 1'
_symmetry_Int_Tables_number 1
_symmetry_space_group_name_Hall 'P 1'
loop_
_atom_site_label
_atom_site_fract_x
_atom_site_fract_y
_atom_site_fract_z
_atom_site_occupancy
Ba1 0.000 0.000 0.000 1
Ba2 0.500 0.500 0.000 1
Zr1 0.126 0.374 0.500 1
Zr2 0.374 0.874 0.500 1
Zr3 0.626 0.126 0.500 1
Zr4 0.874 0.626 0.500 1
Sn1 0.162 0.662 0.000 1
Sn2 0.338 0.162 0.000 1
Sn3 0.662 0.838 0.000 1
Sn4 0.838 0.338 0.000 1
# Total magnetization ... 0.0 μB per cell
# VASP energy ... -5.690 eV per atom
# Energy relative to the elements ... -0.285 eV per atom
# Energy above the most stable polymorph in this dataset ... 0.056 eV per atom
# Space-group type ... P4/mbm, No. 127



# GaSnRh6 (PBE-GGA, optimized geometry)
data_GaSnRh6
_cell_length_a 4.716
_cell_length_b 4.716
_cell_length_c 6.879
_cell_angle_alpha 105.85
_cell_angle_beta 105.85
_cell_angle_gamma 70.35
_symmetry_space_group_name_H-M 'P 1'
_symmetry_Int_Tables_number 1
_symmetry_space_group_name_Hall 'P 1'
loop_
_atom_site_label
_atom_site_fract_x
_atom_site_fract_y
_atom_site_fract_z
_atom_site_occupancy
Ga1 0.000 0.000 0.000 1
Sn1 0.500 0.500 0.500 1
Rh1 0.067 0.543 0.713 1
Rh2 0.367 0.367 0.073 1
Rh3 0.457 0.933 0.287 1
Rh4 0.543 0.067 0.713 1
Rh5 0.633 0.633 0.927 1
Rh6 0.933 0.457 0.287 1
# Total magnetization ... 0.0 μB per cell
# VASP energy ... -6.355 eV per atom
# Energy relative to the elements ... 0.037 eV per atom
# Space-group type ... C2/m, No. 12



# LaPr3YEr (PBE-GGA, optimized geometry)
data_LaPr3YEr
_cell_length_a 8.153
_cell_length_b 5.207
_cell_length_c 10.401
_cell_angle_alpha 90.00
_cell_angle_beta 108.68
_cell_angle_gamma 90.00
_symmetry_space_group_name_H-M 'P 1'
_symmetry_Int_Tables_number 1
_symmetry_space_group_name_Hall 'P 1'
loop_
_atom_site_label
_atom_site_fract_x
_atom_site_fract_y
_atom_site_fract_z
_atom_site_occupancy
La1 0.171 0.250 0.293 1
La2 0.829 0.750 0.707 1
Pr1 0.169 0.250 0.791 1
Pr2 0.170 0.750 0.042 1
Pr3 0.172 0.750 0.543 1
Pr4 0.828 0.250 0.457 1
Pr5 0.830 0.250 0.958 1
Pr6 0.831 0.750 0.209 1
Y1 0.499 0.750 0.875 1
Y2 0.501 0.250 0.125 1
Er1 0.500 0.250 0.625 1
Er2 0.500 0.750 0.375 1
# Total magnetization ... 0.0 μB per cell
# VASP energy ... -5.023 eV per atom
# Energy relative to the elements ... 0.026 eV per atom
# Space-group type ... P2_1/m, No. 11



The evaluated D(E_F) for the records listed, in turn: 0.71 0.50 1.03 1.14 1.29 1.70 states/eV per atom.
The evaluated calculated volume for the records listed, in turn: 91.5 79.7 156.7 135.7 135.8 209.1 Å³/f.u..